DFT (PBE-GGA) results for a geometry-optimized MnBe2AlAs structure.

Calculated values
Total magnetic moment ... 3.79 μB/f.u.
DFT formation energy ... 1.015 eV per atom
Total energy ... -3.99 eV per atom

Unit cell a=4.2469 b=4.2469 c=4.8905 alpha=90.00 beta=90.00 gamma=90.00
With the nearest neighbours (Å) after each atom.
Space group P4/mmm (No. 123)
Symmetry-distinct sites (fractional):
Mn 0.0000 0.0000 0.0000  2 Al 2.45
Be 0.0000 0.5000 0.5000  2 Al 2.12
Al 0.0000 0.0000 0.5000  4 Be 2.12
As 0.5000 0.5000 0.0000  4 Mn 3.00, 8 Be 3.24

DFT (PBE-GGA) results for a geometry-optimized U2In9Sn structure.

Calculated values
Total magnetic moment ... 5.49 μB/f.u.
DFT formation energy ... 0.053 eV per atom
Total energy ... -4.22 eV per atom

Unit cell a=4.6476 b=4.6476 c=14.2354 alpha=90.00 beta=90.00 gamma=90.00
With the nearest neighbours (Å) after each atom.
Space group P4/mmm (No. 123)
Symmetry-distinct sites (fractional):
U 0.0000 0.0000 0.1632  12 In 3.29-3.30
In 0.0000 0.5000 0.0000  8 In 3.27-3.29, 4 U 3.29
In 0.0000 0.5000 0.3279  8 In 3.29-3.38, 2 U 3.30, 2 Sn 3.38
In 0.5000 0.5000 0.1613  8 In 3.27-3.32, 4 U 3.29
In 0.5000 0.5000 0.5000  4 Sn 3.29, 8 In 3.38
Sn 0.0000 0.0000 0.5000  12 In 3.29-3.38

DFT (PBE-GGA) results for a geometry-optimized BeSbI2F structure.

Calculated values
ΔE_f (raw) ... 0.070 eV per atom
Relative energy among the computed polymorphs ... 0 meV/atom
Total magnetic moment ... 0.00 μB/f.u.
Total energy ... -2.49 eV per atom

Unit cell a=5.1122 b=5.1122 c=4.9341 alpha=90.00 beta=90.00 gamma=90.00
With the nearest neighbours (Å) after each atom.
Space group P4/mmm (No. 123)
Symmetry-distinct sites (fractional):
Be 0.0000 0.0000 0.0000  2 Sb 2.47, 4 I 2.56
Sb 0.0000 0.0000 0.5000  2 Be 2.47
I 0.0000 0.5000 0.0000  2 Be 2.56
F 0.5000 0.5000 0.5000  8 I 3.55, 4 Sb 3.61

DFT (PBE-GGA) results for a geometry-optimized TbBe2Au7 structure.

Calculated values
Total magnetic moment ... 0.00 μB/f.u.
DFT formation energy ... -0.229 eV per atom
Total energy ... -3.73 eV per atom

Unit cell a=7.4229 b=11.8600 c=4.4960 alpha=90.00 beta=90.00 gamma=90.00
With the nearest neighbours (Å) after each atom.
Space group Cmmm (No. 65)
Symmetry-distinct sites (fractional):
Tb 0.0000 0.0000 0.0000  10 Au 2.97-3.08
Be 0.0000 0.3006 0.5000  7 Au 2.32-2.47
Au 0.0000 0.2506 0.0000  2 Be 2.32
Au 0.0000 0.5000 0.5000  2 Be 2.36
Au 0.1925 0.1302 0.5000  2 Be 2.43-2.47

DFT (PBE-GGA) results for a geometry-optimized Ni2Rh6W structure.

Calculated values
Total magnetic moment ... 0.00 μB/f.u.
DFT formation energy ... -0.095 eV per atom
Total energy ... -7.72 eV per atom

Unit cell a=8.4581 b=3.8122 c=8.0334 alpha=90.00 beta=107.55 gamma=90.00
With the nearest neighbours (Å) after each atom.
Space group C2/m (No. 12)
Symmetry-distinct sites (fractional):
Ni 0.1655 0.0000 0.2193  10 Rh 2.64-2.73, 2 W 2.68
Rh 0.0044 0.5000 0.3276  1 W 2.62, 3 Ni 2.64-2.73, 8 Rh 2.67-2.79
Rh 0.1653 0.0000 0.5525  9 Rh 2.67-2.73, 3 Ni 2.68-2.73
Rh 0.1646 0.0000 0.8877  4 Ni 2.66-2.68, 3 W 2.67-2.70, 5 Rh 2.68-2.72
W 0.0000 0.5000 0.0000  8 Rh 2.62-2.70, 4 Ni 2.68

DFT (PBE-GGA) results for a geometry-optimized Y3Er2Tc2 structure.

Calculated values
Total magnetic moment ... 0.00 μB/f.u.
DFT formation energy ... -0.058 eV per atom
Total energy ... -7.09 eV per atom

Unit cell a=12.3727 b=3.7827 c=8.3939 alpha=90.00 beta=113.11 gamma=90.00
With the nearest neighbours (Å) after each atom.
Space group C2/m (No. 12)
Symmetry-distinct sites (fractional):
Y 0.0000 0.0000 0.0000  4 Tc 2.94
Y 0.1250 0.0000 0.4361  3 Tc 2.93-2.98
Er 0.1633 0.5000 0.8222  2 Tc 2.79
Tc 0.1815 0.5000 0.2128  2 Er 2.79, 5 Y 2.93-2.98

DFT (PBE-GGA) results for a geometry-optimized ThHgCl2 structure.

Calculated values
ΔE_f (raw) ... -1.316 eV per atom
Total magnetic moment ... 0.00 μB/f.u.
Total energy ... -4.17 eV per atom

Unit cell a=3.5980 b=3.5980 c=36.0327 alpha=90.00 beta=90.00 gamma=120.00
With the nearest neighbours (Å) after each atom.
Space group R-3m (No. 166, hexagonal axes)
Symmetry-distinct sites (fractional):
Th 0.0000 0.0000 0.0000  6 Cl 2.89
Hg 0.0000 0.0000 0.5000  6 Hg 3.60, 2 Cl 4.00
Cl 0.0000 0.0000 0.3891  3 Th 2.89

DFT (PBE-GGA) results for a geometry-optimized TlHgBr2 structure.

Calculated values
ΔE_f (raw) ... -0.394 eV per atom
Relative energy among the computed polymorphs ... 127 meV/atom
Total magnetic moment ... 0.00 μB/f.u.
Total energy ... -1.90 eV per atom

Unit cell a=7.8520 b=7.8520 c=7.8520 alpha=90.00 beta=90.00 gamma=90.00
With the nearest neighbours (Å) after each atom.
Space group Fm-3m (No. 225)
Symmetry-distinct sites (fractional):
Tl 0.0000 0.0000 0.0000  8 Br 3.40
Hg 0.0000 0.0000 0.5000  8 Br 3.40
Br 0.2500 0.2500 0.2500  4 Hg 3.40, 4 Tl 3.40

DFT (PBE-GGA) results for a geometry-optimized SrNd2Y structure.

Calculated values
Relative energy among the computed polymorphs ... 76 meV/atom
Total magnetic moment ... 0.00 μB/f.u.
DFT formation energy ... 0.163 eV per atom
Total energy ... -4.26 eV per atom

Unit cell a=5.3034 b=5.3034 c=5.3012 alpha=90.00 beta=90.00 gamma=90.00
With the nearest neighbours (Å) after each atom.
Space group P4/mmm (No. 123)
Symmetry-distinct sites (fractional):
Sr 0.0000 0.0000 0.0000  8 Nd 3.75, 4 Y 3.75
Nd 0.0000 0.5000 0.5000  4 Sr 3.75, 4 Y 3.75, 4 Nd 3.75
Y 0.5000 0.5000 0.0000  8 Nd 3.75, 4 Sr 3.75

DFT (PBE-GGA) results for a geometry-optimized Rb5Br2ClO structure.

Calculated values
ΔE_f (raw) ... -1.493 eV per atom
Total magnetic moment ... 0.00 μB/f.u.
Total energy ... -3.16 eV per atom

Unit cell a=5.4010 b=7.8469 c=16.6048 alpha=90.00 beta=90.00 gamma=90.00
With the nearest neighbours (Å) after each atom.
Space group Immm (No. 71)
Symmetry-distinct sites (fractional):
Rb 0.0000 0.0000 0.0000  2 O 2.70
Rb 0.0000 0.2576 0.3808  1 O 2.74
Br 0.0000 0.0000 0.2075  7 Rb 3.45-3.61
Cl 0.0000 0.5000 0.0000  10 Rb 3.91-3.92
O 0.0000 0.5000 0.5000  6 Rb 2.70-2.74

DFT (PBE-GGA) results for a geometry-optimized Pm6Nd12Er structure.

Calculated values
Relative energy among the computed polymorphs ... 0 meV/atom
Total magnetic moment ... 0.00 μB/f.u.
DFT formation energy ... 0.119 eV per atom
Total energy ... -4.63 eV per atom

Unit cell a=13.3829 b=13.3829 c=13.1789 alpha=90.00 beta=90.00 gamma=120.00
With the nearest neighbours (Å) after each atom.
Space group R-3m (No. 166, hexagonal axes)
Symmetry-distinct sites (fractional):
Pm 0.0894 0.1788 0.2726  4 Nd 3.44-3.61, 2 Pm 3.59, 1 Er 3.64
Nd 0.0000 0.2627 0.5000  4 Pm 3.44-3.61, 6 Nd 3.52-3.71, 1 Er 3.52
Nd 0.0576 0.5288 0.6122  5 Nd 3.24-3.57
Er 0.0000 0.0000 0.5000  6 Nd 3.52, 6 Pm 3.64

Q: total energy of number 11 (Pm6Nd12Er)?
A: -4.63 eV per atom

Q: Among the records above, which one has the highest total magnetic moment?
A: U2In9Sn

Repeat the fourth record exactly.
DFT (PBE-GGA) results for a geometry-optimized TbBe2Au7 structure.

Calculated values
Total magnetic moment ... 0.00 μB/f.u.
DFT formation energy ... -0.229 eV per atom
Total energy ... -3.73 eV per atom

Unit cell a=7.4229 b=11.8600 c=4.4960 alpha=90.00 beta=90.00 gamma=90.00
With the nearest neighbours (Å) after each atom.
Space group Cmmm (No. 65)
Symmetry-distinct sites (fractional):
Tb 0.0000 0.0000 0.0000  10 Au 2.97-3.08
Be 0.0000 0.3006 0.5000  7 Au 2.32-2.47
Au 0.0000 0.2506 0.0000  2 Be 2.32
Au 0.0000 0.5000 0.5000  2 Be 2.36
Au 0.1925 0.1302 0.5000  2 Be 2.43-2.47